1.
A plane-wave DFT calculation with PBEsol was carried out for crystalline MnZn2Rh at its relaxed geometry.

Unit cell a=3.7474 b=3.7474 c=4.6128 alpha=113.97 beta=113.97 gamma=90.00
Fractional coordinates of all 4 atoms:
Zn 0.0000 0.0000 0.0000
Zn 0.7500 0.2500 0.5000
Mn 0.5000 0.5000 0.0000
Rh 0.2500 0.7500 0.5000

Calculated values
Mass density in Mg/m³: 9.0
Total energy in eV/atom: -5.40
Calculated formation energy in eV per atom: -0.14

2.
A plane-wave DFT calculation with PBEsol was carried out for crystalline MnZn2Rh at its relaxed geometry.

Unit cell a=2.8918 b=4.3260 c=4.3260 alpha=102.36 beta=90.00 gamma=90.00
Fractional coordinates of all 4 atoms:
Zn 0.0000 0.5000 0.0000
Zn 0.0000 0.0000 0.5000
Mn 0.5000 0.0000 0.0000
Rh 0.5000 0.5000 0.5000

Calculated values
Mass density in Mg/m³: 9.1
Total energy in eV/atom: -5.39
Calculated formation energy in eV per atom: -0.13

3.
A plane-wave DFT calculation with PBEsol was carried out for crystalline MnZn2Rh at its relaxed geometry.

Unit cell a=3.0355 b=3.0404 c=5.6616 alpha=90.00 beta=90.00 gamma=90.00
Fractional coordinates of all 4 atoms:
Zn 0.0000 0.0000 0.7484
Zn 0.0000 0.0000 0.2516
Mn 0.5000 0.5000 0.0000
Rh 0.5000 0.5000 0.5000

Calculated values
Mass density in Mg/m³: 9.2
Total energy in eV/atom: -5.40
Calculated formation energy in eV per atom: -0.13

4.
A plane-wave DFT calculation with PBEsol was carried out for crystalline MnZn2Rh at its relaxed geometry.

Unit cell a=3.7206 b=3.7758 c=3.7758 alpha=90.00 beta=90.00 gamma=90.00
Fractional coordinates of all 4 atoms:
Zn 0.0000 0.0000 0.5000
Zn 0.0000 0.5000 0.0000
Mn 0.5000 0.5000 0.5000
Rh 0.5000 0.0000 0.0000

Calculated values
Mass density in Mg/m³: 9.0
Total energy in eV/atom: -5.42
Calculated formation energy in eV per atom: -0.16

5.
A plane-wave DFT calculation with PBEsol was carried out for crystalline MnZn2Rh at its relaxed geometry.

Unit cell a=2.9127 b=4.1911 c=4.3026 alpha=90.00 beta=90.00 gamma=90.00
Fractional coordinates of all 4 atoms:
Zn 0.0000 0.0000 0.0608
Zn 0.0000 0.5000 0.6884
Mn 0.5000 0.0000 0.5600
Rh 0.5000 0.5000 0.1908

Calculated values
Mass density in Mg/m³: 9.1
Total energy in eV/atom: -5.40
Calculated formation energy in eV per atom: -0.14

6.
A plane-wave DFT calculation with PBEsol was carried out for crystalline MnZn2Rh at its relaxed geometry.

Unit cell a=3.8034 b=3.8034 c=4.5417 alpha=114.75 beta=114.75 gamma=90.00
Fractional coordinates of all 4 atoms:
Zn 0.7500 0.2500 0.5000
Zn 0.2500 0.7500 0.5000
Mn 0.5000 0.5000 0.0000
Rh 0.0000 0.0000 0.0000

Calculated values
Mass density in Mg/m³: 9.1
Total energy in eV/atom: -5.46
Calculated formation energy in eV per atom: -0.20

7.
A plane-wave DFT calculation with PBEsol was carried out for crystalline ZrMn2Rh at its relaxed geometry.

Unit cell a=2.8023 b=2.8023 c=8.8700 alpha=80.91 beta=80.91 gamma=60.00
Fractional coordinates of all 4 atoms:
Mn 0.9211 0.9211 0.2368
Mn 0.6555 0.6555 0.0334
Rh 0.5102 0.5102 0.4694
Zr 0.4132 0.4132 0.7604

Calculated values
Mass density in Mg/m³: 8.5
Total energy in eV/atom: -8.86
Calculated formation energy in eV per atom: 0.33

8.
A plane-wave DFT calculation with PBEsol was carried out for crystalline Zr2MnRh at its relaxed geometry.

Unit cell a=3.2310 b=4.4904 c=4.4904 alpha=90.00 beta=90.00 gamma=90.00
Fractional coordinates of all 4 atoms:
Mn 0.5000 0.5000 0.5000
Rh 0.5000 0.0000 0.0000
Zr 0.0000 0.0000 0.5000
Zr 0.0000 0.5000 0.0000

Calculated values
Mass density in Mg/m³: 8.7
Total energy in eV/atom: -9.44
Calculated formation energy in eV per atom: -0.42